This record from the Alexandria database describes Cs6Au3I2 after structural relaxation. The functional is PBE.

Cell: 9.256 9.256 9.434 Å, 99.43 99.43 120.03°
Atoms (fractional coordinates):
Cs (0.071, 0.410, 0.231)
Cs (0.250, 0.250, 0.769)
Cs (0.410, 0.071, 0.231)
Cs (0.590, 0.929, 0.769)
Cs (0.750, 0.750, 0.231)
Cs (0.929, 0.590, 0.769)
Au (0.000, 0.000, 0.000)
Au (0.334, 0.666, 0.000)
Au (0.666, 0.334, 0.000)
I (0.167, 0.833, 0.500)
I (0.833, 0.167, 0.500)

Properties
For the magnetization, the calculation gives 0.58 μB per formula unit. The calculation puts the density of states at the Fermi level at 3.6 states/eV/f.u. The uncorrected formation energy comes out at -725 meV per atom. The volume is 60.1 Å³/atom.